A geometry-optimized InH4I structure, computed with PBE-GGA.

abc: 9.322 9.358 6.618
angles: 90.00 125.06 90.00
Space group C2/c (No. 15)
Inequivalent atoms, fractional coordinates:
In 0.000 0.051 0.250
H 0.003 0.301 0.695
H 0.157 0.028 0.720
I 0.000 0.342 0.250

Total moment = 0.00 μB/atom
Crystal system = monoclinic
D(E_F) = 0.00 states/eV/cell
VASP energy = -2.89 eV/atom

---

A geometry-optimized FePd4Au5 structure, computed with PBE-GGA.

abc: 14.835 2.861 8.090
angles: 90.00 106.48 90.00
Space group C2/m (No. 12)
Inequivalent atoms, fractional coordinates:
Fe 0.000 0.000 0.000
Pd 0.097 0.500 0.283
Pd 0.199 0.000 0.100
Au 0.000 0.000 0.500
Au 0.098 0.500 0.812
Au 0.200 0.000 0.601

Total moment = 0.38 μB/atom
Crystal system = monoclinic
ΔE_f = -39 meV/atom
D(E_F) = 14.48 states/eV/cell
VASP energy = -4.60 eV/atom

---

A geometry-optimized ScAg4 structure, computed with PBE-GGA.

abc: 6.262 6.262 6.262
angles: 90.00 90.00 90.00
Space group Im-3m (No. 229)
Inequivalent atoms, fractional coordinates:
Sc 0.000 0.000 0.000
Ag 0.250 0.250 0.250

Total moment = 0.00 μB/atom
Crystal system = cubic
ΔE_f = 568 meV/atom
D(E_F) = 5.13 states/eV/cell
VASP energy = -2.98 eV/atom

---

A geometry-optimized SrZrOs2 structure, computed with PBE-GGA.

abc: 3.023 4.345 6.689
angles: 90.00 102.39 90.00
Space group P2/m (No. 10)
Inequivalent atoms, fractional coordinates:
Sr 0.000 0.000 0.000
Zr 0.500 0.000 0.500
Os 0.286 0.500 0.679

Total moment = 0.00 μB/atom
Crystal system = monoclinic
ΔE_f = 416 meV/atom
D(E_F) = 2.58 states/eV/cell
VASP energy = -7.76 eV/atom

---

What is the total moment in the second record? 0.38 μB/atom

---

The highest total moment belongs to which entry? FePd4Au5

---

VASP energy of number 1 (InH4I)? -2.89 eV/atom

---

Copy entry 2 word for word.
A geometry-optimized FePd4Au5 structure, computed with PBE-GGA.

abc: 14.835 2.861 8.090
angles: 90.00 106.48 90.00
Space group C2/m (No. 12)
Inequivalent atoms, fractional coordinates:
Fe 0.000 0.000 0.000
Pd 0.097 0.500 0.283
Pd 0.199 0.000 0.100
Au 0.000 0.000 0.500
Au 0.098 0.500 0.812
Au 0.200 0.000 0.601

Total moment = 0.38 μB/atom
Crystal system = monoclinic
ΔE_f = -39 meV/atom
D(E_F) = 14.48 states/eV/cell
VASP energy = -4.60 eV/atom